No. 1
# MgHg2Br | the Alexandria database | PBE-GGA | optimized geometry
# * formation energy from raw total energies: -327 meV/atom
# * size of the total moment: 0.00 μB/f.u.
# * D(E_F): 1.6 states/eV/f.u.
# * calculated volume: 31.4 Å³ per atom
# * space-group type: P2/m
data_MgHg2Br
_cell_length_a 4.773
_cell_length_b 5.497
_cell_length_c 5.545
_cell_angle_alpha 59.77
_cell_angle_beta 90.00
_cell_angle_gamma 90.00
_symmetry_space_group_name_H-M 'P 1'
_symmetry_Int_Tables_number 1
loop_
_symmetry_equiv_pos_as_xyz
'x,y,z'
loop_
_atom_site_label
_atom_site_fract_x
_atom_site_fract_y
_atom_site_fract_z
_atom_site_occupancy
Br1 0.500 0.750 0.750 1
Hg1 0.000 0.072 0.068 1
Hg2 0.000 0.428 0.432 1
Mg1 0.500 0.250 0.250 1

No. 2
# MgHgBr2 | the Alexandria database | PBE-GGA | optimized geometry
# * formation energy from raw total energies: -1091 meV/atom
# * size of the total moment: 0.00 μB/f.u.
# * D(E_F): 0.0 states/eV/f.u.
# * calculated volume: 36.5 Å³ per atom
# * space-group type: P6_3/mmc
data_MgHgBr2
_cell_length_a 3.855
_cell_length_b 3.855
_cell_length_c 22.680
_cell_angle_alpha 90.00
_cell_angle_beta 90.00
_cell_angle_gamma 120.00
_symmetry_space_group_name_H-M 'P 1'
_symmetry_Int_Tables_number 1
loop_
_symmetry_equiv_pos_as_xyz
'x,y,z'
loop_
_atom_site_label
_atom_site_fract_x
_atom_site_fract_y
_atom_site_fract_z
_atom_site_occupancy
Mg1 0.000 0.000 0.000 1
Mg2 0.000 0.000 0.500 1
Hg1 0.667 0.333 0.750 1
Hg2 0.333 0.667 0.250 1
Br1 0.333 0.667 0.433 1
Br2 0.667 0.333 0.933 1
Br3 0.333 0.667 0.067 1
Br4 0.667 0.333 0.567 1